# 1
10
Lattice="-1.0960 5.3683 3.3360 -0.3216 -0.9866 7.6495 6.3668 3.8238 2.1057" Properties=species:S:1:pos:R:3 comment="PBE Ac5Au4O, optimized geometry" raw_formation_energy_ev_per_atom=-1.047 m_tot_mub_per_atom=0.000 vol_a3_per_cell=316.3 pbc="T T T"
Ac -0.4840 2.3706 1.4731
Ac 4.1274 7.5897 7.6140
Ac 1.5581 5.1315 4.5583
Ac 3.3966 3.0473 8.5162
Ac 0.8273 0.5891 5.4605
Au 0.5440 3.4011 7.0466
Au 2.7103 5.8712 9.9507
Au 2.2378 2.3396 3.1437
Au 4.4041 4.8098 6.0478
O -0.0841 0.4120 0.2560



# 2
4
Lattice="4.7668 0.0010 0.0000 -1.1097 4.6358 0.0000 0.0000 0.0000 3.1955" Properties=species:S:1:pos:R:3 comment="PBE Li2PBr, optimized geometry" de_polymorph_mev_per_atom=105 raw_formation_energy_ev_per_atom=-0.483 m_tot_mub_per_atom=0.000 vol_a3_per_cell=70.6 pbc="T T T"
Li 0.0000 0.0000 0.0000
Li 1.8285 2.3184 0.0000
Br -0.5548 2.3179 1.5978
P 2.3834 0.0005 1.5978



# 3
5
Lattice="6.3369 0.0000 0.0000 0.0000 4.8831 0.0000 0.0000 0.0000 6.3369" Properties=species:S:1:pos:R:3 comment="PBE Na2CaPS, optimized geometry" raw_formation_energy_ev_per_atom=0.317 m_tot_mub_per_atom=0.219 vol_a3_per_cell=196.1 pbc="T T T"
Na 0.0000 0.0000 3.1685
Na 3.1685 0.0000 0.0000
Ca 0.0000 0.0000 0.0000
S 0.0000 2.4416 0.0000
P 3.1685 2.4416 3.1685



# 4
4
Lattice="-3.4556 -0.1417 0.6171 0.6329 -0.6734 3.3894 -0.0481 8.9783 1.7927" Properties=species:S:1:pos:R:3 comment="PBE AcPaHg2, optimized geometry" de_polymorph_mev_per_atom=0 m_tot_mub_per_atom=0.403 e_form_ev_per_atom=-0.063 vol_a3_per_cell=113.0 pbc="T T T"
Hg -0.0112 2.0943 0.4182
Hg -0.0369 6.8840 1.3745
Pa -1.4114 -0.4076 2.0032
Ac -1.4354 4.0816 2.8996



# 5
10
Lattice="-2.5026 1.1652 -1.9529 -6.6442 -8.4727 3.4594 1.3029 10.3031 4.4775" Properties=species:S:1:pos:R:3 comment="PBE Tl7In2Pb, optimized geometry" de_polymorph_mev_per_atom=0 m_tot_mub_per_atom=0.000 e_form_ev_per_atom=0.122 vol_a3_per_cell=336.2 pbc="T T T"
Tl -3.1990 -1.0446 0.5487
Tl -3.8185 -1.7967 3.8214
Tl -6.3413 0.0323 5.2181
Tl -1.5228 3.6271 4.1155
Tl -4.6449 4.0401 5.4354
Tl -3.9220 1.4978 2.9920
Tl -1.5026 2.9633 0.7660
Pb 0.0000 0.0000 0.0000
In -1.7210 6.6977 3.2740
In -6.1229 -3.7022 2.7101



# 6
7
Lattice="2.7919 -4.8357 0.0000 2.7919 4.8357 0.0000 0.0000 0.0000 5.4432" Properties=species:S:1:pos:R:3 comment="PBE Tl4W3, optimized geometry" m_tot_mub_per_atom=0.000 e_form_ev_per_atom=0.914 vol_a3_per_cell=147.0 pbc="T T T"
W 1.3959 2.4178 0.0000
W 2.7919 0.0000 0.0000
W 1.3959 -2.4178 0.0000
Tl 2.7919 -1.6119 2.7216
Tl 0.0000 0.0000 1.3707
Tl 0.0000 0.0000 4.0725
Tl 2.7919 1.6119 2.7216



# 7
10
Lattice="3.8764 0.0000 0.0000 0.0000 3.8764 0.0000 0.0000 0.0000 13.5615" Properties=species:S:1:pos:R:3 comment="PBE SrScS2F, optimized geometry" raw_formation_energy_ev_per_atom=-2.492 m_tot_mub_per_atom=0.000 vol_a3_per_cell=203.8 pbc="T T T"
Sr 0.0000 1.9382 5.2551
Sr 1.9382 0.0000 8.3064
S 1.9382 0.0000 3.8471
S 0.0000 1.9382 1.1959
S 0.0000 1.9382 9.7144
S 1.9382 0.0000 12.3656
Sc 1.9382 0.0000 1.5123
Sc 0.0000 1.9382 12.0491
F 1.9382 1.9382 6.7807
F 0.0000 0.0000 6.7807



# 8
4
Lattice="5.4012 0.0000 0.0000 0.0000 3.4178 0.0166 0.0000 1.9214 6.6802" Properties=species:S:1:pos:R:3 comment="PBE SbPb3, optimized geometry" raw_formation_energy_ev_per_atom=0.049 m_tot_mub_per_atom=0.000 vol_a3_per_cell=123.1 pbc="T T T"
Sb 2.7006 1.3348 1.6742
Pb 0.0000 2.3843 3.2674
Pb 0.0000 0.2853 0.0811
Pb 2.7006 4.0044 5.0226



# 9
4
Lattice="-1.4682 0.9188 3.2217 2.7296 -1.7091 1.7314 4.2776 6.6812 0.0439" Properties=species:S:1:pos:R:3 comment="PBE AlTe2W, optimized geometry" raw_formation_energy_ev_per_atom=0.104 m_tot_mub_per_atom=0.000 vol_a3_per_cell=106.1 pbc="T T T"
W 3.6971 3.5348 0.6767
Al 4.3281 3.1396 3.1534
Te 1.8059 2.1455 2.2875
Te 6.2185 4.5291 1.5422



# 10
5
Lattice="4.4642 0.0000 0.0000 0.0000 4.4642 0.0000 0.0000 0.0000 7.9298" Properties=species:S:1:pos:R:3 comment="PBE La3AuC, optimized geometry" de_polymorph_mev_per_atom=667 m_tot_mub_per_atom=0.042 e_form_ev_per_atom=0.286 vol_a3_per_cell=158.0 pbc="T T T"
La 2.2321 0.0000 3.2071
La 0.0000 2.2321 3.2071
La 0.0000 0.0000 5.9869
Au 0.0000 0.0000 0.9644
C 2.2321 2.2321 4.5855



# 11
16
Lattice="7.9063 0.0000 0.0000 0.0000 7.9649 0.0360 -3.9531 -3.9494 5.5931" Properties=species:S:1:pos:R:3 comment="PBE CePm3Dy4S8, optimized geometry" raw_formation_energy_ev_per_atom=-2.020 m_tot_mub_per_atom=0.030 vol_a3_per_cell=353.3 pbc="T T T"
S 0.0000 4.0641 2.8611
S 0.0000 -0.0500 2.7585
S 1.9707 6.0329 0.0730
S 5.9356 6.0329 0.0730
S 1.9825 -2.0173 5.5561
S 3.9531 4.0655 2.8706
S 3.9531 -0.0485 2.7680
S -1.9825 -2.0173 5.5561
Ce 0.0000 3.9825 0.0180
Dy 1.9766 -1.9747 2.7965
Dy 0.0000 0.0000 0.0000
Dy 3.9531 0.0000 0.0000
Dy -1.9766 -1.9747 2.7965
Pm 1.9766 2.0078 2.8146
Pm 3.9531 3.9825 0.0180
Pm -1.9766 2.0078 2.8146



# 12
20
Lattice="6.2799 0.0000 0.0000 0.0000 7.2091 -3.9778 0.0000 -0.5882 8.1812" Properties=species:S:1:pos:R:3 comment="PBE CdTeO3, optimized geometry" raw_formation_energy_ev_per_atom=-1.091 m_tot_mub_per_atom=0.000 vol_a3_per_cell=355.7 pbc="T T T"
O 3.7883 4.2068 2.8500
O 3.8294 0.0057 1.4849
O 0.5495 5.0538 4.4263
O 5.6316 4.5009 -1.2406
O 5.5905 -0.2884 5.5755
O 2.4916 2.4141 1.3534
O 0.6894 6.9093 -1.3721
O 2.4505 6.6152 2.7186
O 5.7304 1.5671 -0.2228
O 3.6895 1.2730 3.8678
O 0.6483 2.1200 5.4440
O 2.5904 5.3479 0.3357
Cd 4.8309 5.9422 3.7523
Cd 1.6909 0.3846 4.5418
Cd 1.4491 0.6787 0.4511
Cd 4.5890 6.2363 -0.3383
Te 5.2619 1.5436 6.1772
Te 2.1219 4.7832 2.1169
Te 1.0180 5.0773 -1.9738
Te 4.1580 1.8377 2.0866



# 13
4
Lattice="-1.8780 6.7957 -2.1840 -2.3036 6.9652 0.8117 0.4679 7.3578 -0.3497" Properties=species:S:1:pos:R:3 comment="PBE CoOsS2, optimized geometry" de_polymorph_mev_per_atom=93 raw_formation_energy_ev_per_atom=0.054 m_tot_mub_per_atom=0.000 vol_a3_per_cell=57.0 pbc="T T T"
Co -1.8569 10.5594 -0.8610
S -0.3861 2.1956 -0.1790
S -3.3276 18.9232 -1.5430
Os 0.0000 0.0000 0.0000



# 14
8
Lattice="-0.6770 0.4590 5.5158 -4.9170 -2.6012 -0.3870 1.2395 -8.8715 3.7089" Properties=species:S:1:pos:R:3 comment="PBE BaZrGe2, optimized geometry" de_polymorph_mev_per_atom=273 m_tot_mub_per_atom=0.000 e_form_ev_per_atom=-0.123 vol_a3_per_cell=275.4 pbc="T T T"
Ge -3.0686 -8.0538 7.3399
Ge -2.9713 -3.7026 2.3805
Ge -2.0647 -7.9312 4.6344
Ge -0.6044 -2.3398 3.3205
Zr -2.7970 -1.0711 2.5644
Zr -3.2373 -6.2719 2.9431
Ba -1.1173 -4.7418 5.8945
Ba 0.0000 0.0000 0.0000



# 15
5
Lattice="5.9244 0.0000 0.0000 0.0000 5.9244 0.0000 0.0000 0.0000 5.9244" Properties=species:S:1:pos:R:3 comment="PBE Ca3ZrPb, optimized geometry" de_polymorph_mev_per_atom=0 m_tot_mub_per_atom=0.767 e_form_ev_per_atom=0.544 vol_a3_per_cell=207.9 pbc="T T T"
Ca 2.9622 0.0000 0.0000
Ca 0.0000 2.9622 0.0000
Ca 0.0000 0.0000 2.9622
Pb 0.0000 0.0000 0.0000
Zr 2.9622 2.9622 2.9622



# 16
5
Lattice="4.6978 0.0000 0.0000 0.0000 4.9221 0.0000 0.0000 0.0000 4.6978" Properties=species:S:1:pos:R:3 comment="PBE NaTiGaAg2, optimized geometry" m_tot_mub_per_atom=0.000 e_form_ev_per_atom=0.970 vol_a3_per_cell=108.6 pbc="T T T"
Ga 0.0000 2.4610 0.0000
Ag 2.3489 0.0000 0.0000
Ag 0.0000 0.0000 2.3489
Ti 2.3489 2.4610 2.3489
Na 0.0000 0.0000 0.0000



# 17
10
Lattice="4.1451 0.0000 0.0000 0.0000 4.1451 0.0000 0.0000 0.0000 18.5464" Properties=species:S:1:pos:R:3 comment="PBE Pm5Er4Tl, optimized geometry" de_polymorph_mev_per_atom=0 m_tot_mub_per_atom=0.000 e_form_ev_per_atom=0.015 vol_a3_per_cell=318.7 pbc="T T T"
Er 0.0000 0.0000 14.9027
Er 0.0000 0.0000 11.1726
Er 0.0000 0.0000 7.3738
Er 0.0000 0.0000 3.6437
Pm 2.0725 2.0725 5.4904
Pm 2.0725 2.0725 16.8485
Pm 2.0725 2.0725 1.6979
Pm 2.0725 2.0725 13.0560
Pm 2.0725 2.0725 9.2732
Tl 0.0000 0.0000 0.0000



# 18
4
Lattice="-4.1867 -0.0199 1.4169 -0.8695 -0.3407 4.3202 -1.6008 3.4752 2.2130" Properties=species:S:1:pos:R:3 comment="PBE ErNi2Pt, optimized geometry" m_tot_mub_per_atom=0.000 e_form_ev_per_atom=-0.490 vol_a3_per_cell=61.1 pbc="T T T"
Ni -4.9927 2.3359 5.9626
Ni -1.6642 0.7786 1.9875
Pt -3.3285 1.5573 3.9750
Er 0.0000 0.0000 0.0000



# 19
4
Lattice="-1.7422 -0.2865 -2.2554 0.6696 -1.8242 -2.1043 -5.1852 -7.8207 3.1802" Properties=species:S:1:pos:R:3 comment="PBE USi2Mo, optimized geometry" raw_formation_energy_ev_per_atom=0.223 m_tot_mub_per_atom=0.040 vol_a3_per_cell=69.4 pbc="T T T"
Si -2.4832 -4.1903 -3.0058
Si -3.7745 -5.7410 1.8263
U 0.0000 0.0000 0.0000
Mo -3.1289 -4.9657 -0.5897



# 20
10
Lattice="-4.2795 0.8836 2.3445 2.4911 -5.9579 6.7927 2.0814 9.1314 0.3577" Properties=species:S:1:pos:R:3 comment="PBE Tl7In2Pb, optimized geometry" de_polymorph_mev_per_atom=66 m_tot_mub_per_atom=0.000 e_form_ev_per_atom=0.188 vol_a3_per_cell=368.7 pbc="T T T"
Tl 1.6016 1.3989 7.6410
Tl -1.3087 2.6583 1.8539
Tl -1.2213 -0.5604 3.2265
Tl 0.1465 2.0286 4.7474
Tl 2.4088 -2.9284 5.5007
Tl 1.5142 4.6175 6.2683
Tl 2.1637 6.1019 1.6497
In 0.0659 4.9973 3.4814
In 0.2271 -0.9402 6.0135
Pb 0.0000 0.0000 0.0000